No. 1
Here is SrZnPt at its PBEsol-relaxed geometry from Alexandria via LeMat-Bulk. Energies are from meta-GGA SCAN.

Geometry as POSCAR:
```
SrZnPt
1.0
4.3378 0.0000 0.0000
-2.1689 3.7566 0.0000
0.0000 0.0000 4.2093
Sr Zn Pt
1 1 1
direct
0.0000 0.0000 0.0000
0.6667 0.3333 0.5000
0.3333 0.6667 0.5000
```

* formation energy from the elements: -0.818 eV per atom
* M_tot: 0.00 μB/atom
* density: 8.427 g/cm3
* DFT total energy: -36.146 eV/atom

No. 2
Here is SrZnPt2 at its PBEsol-relaxed geometry from Alexandria via LeMat-Bulk. Energies are from meta-GGA SCAN.

Geometry as POSCAR:
```
SrZnPt2
1.0
2.9879 0.0000 0.0000
0.0000 3.4914 0.0000
0.0000 0.0000 6.9679
Sr Zn Pt
1 1 2
direct
0.0000 0.0000 0.0000
0.0000 0.0000 0.5000
0.5000 0.5000 0.3026
0.5000 0.5000 0.6974
```

* formation energy from the elements: -0.560 eV per atom
* M_tot: 0.00 μB/atom
* density: 12.409 g/cm3
* DFT total energy: -44.604 eV/atom

No. 3
Here is SrZnPt at its PBEsol-relaxed geometry from Alexandria via LeMat-Bulk. Energies are from meta-GGA SCAN.

Geometry as POSCAR:
```
SrZnPt
1.0
0.0000 3.4230 3.4230
3.4230 0.0000 3.4230
3.4230 3.4230 0.0000
Sr Zn Pt
1 1 1
direct
0.0000 0.0000 0.0000
0.2500 0.2500 0.2500
0.7500 0.7500 0.7500
```

* formation energy from the elements: 0.067 eV per atom
* M_tot: 0.00 μB/atom
* density: 7.207 g/cm3
* DFT total energy: -35.261 eV/atom

No. 4
Here is Sr2Zn2Pt at its PBEsol-relaxed geometry from Alexandria via LeMat-Bulk. Energies are from meta-GGA SCAN.

Geometry as POSCAR:
```
Sr2Zn2Pt
1.0
-2.9669 2.9669 3.6458
2.9669 -2.9669 3.6458
2.9669 2.9669 -3.6458
Sr Zn Pt
2 2 1
direct
0.2500 0.7500 0.5000
0.7500 0.2500 0.5000
0.1610 0.1610 0.0000
0.8390 0.8390 0.0000
0.5000 0.5000 0.0000
```

* formation energy from the elements: -0.336 eV per atom
* M_tot: 0.00 μB/atom
* density: 6.483 g/cm3
* DFT total energy: -28.691 eV/atom

No. 5
Here is SrZn3Pt at its PBEsol-relaxed geometry from Alexandria via LeMat-Bulk. Energies are from meta-GGA SCAN.

Geometry as POSCAR:
```
SrZn3Pt
1.0
4.8065 0.0000 0.0000
0.0000 4.8065 0.0000
0.0000 0.0000 4.8065
Sr Zn Pt
1 3 1
direct
0.0000 0.0000 0.0000
0.0000 0.5000 0.5000
0.5000 0.0000 0.5000
0.5000 0.5000 0.0000
0.5000 0.5000 0.5000
```

* formation energy from the elements: -0.512 eV per atom
* M_tot: 0.00 μB/atom
* density: 7.162 g/cm3
* DFT total energy: -27.115 eV/atom

No. 6
Here is SrZn2Pt2 at its PBEsol-relaxed geometry from Alexandria via LeMat-Bulk. Energies are from meta-GGA SCAN.

Geometry as POSCAR:
```
SrZn2Pt2
1.0
-2.1054 2.1054 5.2586
2.1054 -2.1054 5.2586
2.1054 2.1054 -5.2586
Sr Zn Pt
1 2 2
direct
0.0000 0.0000 0.0000
0.3818 0.3818 0.0000
0.6182 0.6182 0.0000
0.2500 0.7500 0.5000
0.7500 0.2500 0.5000
```

* formation energy from the elements: -0.709 eV per atom
* M_tot: 0.00 μB/atom
* density: 10.839 g/cm3
* DFT total energy: -38.648 eV/atom

No. 7
Here is Sr2ZrPt at its PBEsol-relaxed geometry from Alexandria via LeMat-Bulk. Energies are from meta-GGA SCAN.

Geometry as POSCAR:
```
Sr2ZrPt
1.0
-2.1407 2.1407 5.3664
2.1407 -2.1407 5.3664
2.1407 2.1407 -5.3664
Sr Zr Pt
2 1 1
direct
0.2500 0.7500 0.5000
0.7500 0.2500 0.5000
0.0000 0.0000 0.0000
0.5000 0.5000 0.0000
```

* formation energy from the elements: 0.094 eV per atom
* energy above the lowest structure with this stoichiometry: 172.5 meV per atom
* M_tot: 0.00 μB/atom
* density: 7.791 g/cm3
* DFT total energy: -36.266 eV/atom

No. 8
Here is Sr2ZrPt at its PBEsol-relaxed geometry from Alexandria via LeMat-Bulk. Energies are from meta-GGA SCAN.

Geometry as POSCAR:
```
Sr2ZrPt
1.0
3.4706 0.0000 0.0000
0.0000 3.4706 0.0000
0.0000 0.0000 9.3735
Sr Zr Pt
2 1 1
direct
0.0000 0.0000 0.1959
0.0000 0.0000 0.8041
0.5000 0.5000 0.5000
0.5000 0.5000 0.0000
```

* formation energy from the elements: -0.078 eV per atom
* energy above the lowest structure with this stoichiometry: 0.0 meV per atom
* M_tot: 0.55 μB/atom
* density: 6.788 g/cm3
* DFT total energy: -36.439 eV/atom

No. 9
Here is Ta2Pt at its PBEsol-relaxed geometry from Alexandria via LeMat-Bulk. Energies are from meta-GGA SCAN.

Geometry as POSCAR:
```
Ta2Pt
1.0
9.8678 0.0000 0.0000
0.0000 9.8678 0.0000
0.0000 0.0000 5.1751
Ta Pt
20 10
direct
0.0607 0.2667 0.0000
0.1016 0.1016 0.5000
0.1867 0.8133 0.2520
0.1867 0.8133 0.7480
0.2333 0.5607 0.5000
0.2667 0.0607 0.0000
0.3133 0.3133 0.2480
0.3133 0.3133 0.7520
0.3984 0.6016 0.0000
0.4393 0.7667 0.5000
0.5607 0.2333 0.5000
0.6016 0.3984 0.0000
0.6867 0.6867 0.2480
0.6867 0.6867 0.7520
0.7333 0.9393 0.0000
0.7667 0.4393 0.5000
0.8133 0.1867 0.2520
0.8133 0.1867 0.7480
0.8984 0.8984 0.5000
0.9393 0.7333 0.0000
0.0000 0.0000 0.0000
0.0359 0.3625 0.5000
0.1375 0.5359 0.0000
0.3625 0.0359 0.5000
0.4641 0.8625 0.0000
0.5000 0.5000 0.5000
0.5359 0.1375 0.0000
0.6375 0.9641 0.5000
0.8625 0.4641 0.0000
0.9641 0.6375 0.5000
```

* formation energy from the elements: -0.532 eV per atom
* M_tot: 0.00 μB/atom
* density: 18.354 g/cm3
* DFT total energy: -68.319 eV/atom

No. 10
Here is TaPt3 at its PBEsol-relaxed geometry from Alexandria via LeMat-Bulk. Energies are from meta-GGA SCAN.

Geometry as POSCAR:
```
TaPt3
1.0
4.8670 0.0000 0.0000
0.0000 5.5352 0.0000
-1.7110 0.0000 9.1106
Ta Pt
4 12
direct
0.1213 0.2500 0.3774
0.2877 0.2500 0.8729
0.7123 0.7500 0.1271
0.8787 0.7500 0.6226
0.1097 0.7500 0.3760
0.2084 0.0013 0.1230
0.2084 0.4987 0.1230
0.2926 0.7500 0.8720
0.3799 0.5012 0.6258
0.3799 0.9988 0.6258
0.6201 0.0012 0.3742
0.6201 0.4988 0.3742
0.7074 0.2500 0.1280
0.7916 0.5013 0.8770
0.7916 0.9987 0.8770
0.8903 0.2500 0.6240
```

* formation energy from the elements: -0.810 eV per atom
* M_tot: 0.00 μB/atom
* density: 20.735 g/cm3
* DFT total energy: -70.101 eV/atom

No. 11
Here is TaPt at its PBEsol-relaxed geometry from Alexandria via LeMat-Bulk. Energies are from meta-GGA SCAN.

Geometry as POSCAR:
```
TaPt
1.0
1.4134 0.8160 4.6451
-1.4134 0.8160 4.6451
0.0000 -1.6320 4.6451
Ta Pt
1 1
direct
0.0000 0.0000 0.0000
0.5000 0.5000 0.5000
```

* formation energy from the elements: -0.422 eV per atom
* M_tot: 0.00 μB/atom
* density: 19.425 g/cm3
* DFT total energy: -68.810 eV/atom

No. 12
Here is Ta3Pt at its PBEsol-relaxed geometry from Alexandria via LeMat-Bulk. Energies are from meta-GGA SCAN.

Geometry as POSCAR:
```
Ta3Pt
1.0
3.0734 -4.7286 0.0000
3.0734 4.7286 0.0000
0.0000 0.0000 4.6404
Ta Pt
6 2
direct
0.1254 0.8746 0.7500
0.1493 0.3733 0.7500
0.3733 0.1493 0.2500
0.6267 0.8507 0.7500
0.8507 0.6267 0.2500
0.8746 0.1254 0.2500
0.3436 0.6564 0.2500
0.6564 0.3436 0.7500
```

* formation energy from the elements: -0.431 eV per atom
* M_tot: 0.00 μB/atom
* density: 18.170 g/cm3
* DFT total energy: -67.916 eV/atom